# UTcH PBE optimized geometry
data_UTcH
_space_group_name_H-M_alt 'P 1'
_space_group_IT_number 1
_space_group_name_Hall 'P 1'
_cell_length_a 3.094
_cell_length_b 3.094
_cell_length_c 4.767
_cell_angle_alpha 90.00
_cell_angle_beta 90.00
_cell_angle_gamma 120.00
loop_
_atom_site_label
_atom_site_type_symbol
_atom_site_fract_x
_atom_site_fract_y
_atom_site_fract_z
U1 U 0.000 0.000 0.000
Tc1 Tc 0.333 0.667 0.524
H1 H 0.667 0.333 0.360
# M_tot = 1.11 Bohr magnetons per cell
# Total energy = -8.1997 eV per atom
# Space-group type = No. 156